Record 1
The following is a GGA-PBEsol calculation of a relaxed Cd2AgSb crystal, from Alexandria via LeMat-Bulk.

```
Cd2AgSb
1.0
-1.506 2.668 5.358
1.506 -2.668 5.358
1.506 2.668 -5.358
Cd Ag Sb
2 1 1
direct
0.231 0.231 0.000
0.769 0.769 0.000
0.000 0.500 0.500
0.500 0.000 0.500
```

SG ... Immm, No. 71
ΔE to the lowest computed polymorph ... 0 meV per atom
ΔE_f (raw) ... 0.087 eV per atom

---

Record 2
The following is a GGA-PBEsol calculation of a relaxed Cd2AgSb crystal, from Alexandria via LeMat-Bulk.

```
Cd2AgSb
1.0
0.000 3.511 3.511
3.511 0.000 3.511
3.511 3.511 0.000
Cd Ag Sb
2 1 1
direct
0.000 0.000 0.000
0.250 0.250 0.250
0.750 0.750 0.750
0.500 0.500 0.500
```

SG ... F-43m, No. 216
ΔE to the lowest computed polymorph ... 43 meV per atom
ΔE_f (raw) ... 0.131 eV per atom

---

Record 3
The following is a GGA-PBEsol calculation of a relaxed ScCdAg crystal, from Alexandria via LeMat-Bulk.

```
ScCdAg
1.0
4.716 0.000 0.000
-2.358 4.084 0.000
0.000 0.000 3.023
Sc Cd Ag
1 1 1
direct
0.000 0.000 0.000
0.667 0.333 0.500
0.333 0.667 0.500
```

SG ... P-6m2, No. 187
Energy ... -11.86 eV for the cell shown

---

Record 4
The following is a GGA-PBEsol calculation of a relaxed ScCd2Ag crystal, from Alexandria via LeMat-Bulk.

```
ScCd2Ag
1.0
3.308 0.000 0.000
0.000 3.308 0.000
0.000 0.000 7.116
Sc Cd Ag
1 2 1
direct
0.000 0.000 0.000
0.500 0.500 0.269
0.500 0.500 0.731
0.000 0.000 0.500
```

SG ... P4/mmm, No. 123
Energy ... -13.11 eV for the cell shown

---

Record 5
The following is a GGA-PBEsol calculation of a relaxed Sc3CdAg crystal, from Alexandria via LeMat-Bulk.

```
Sc3CdAg
1.0
5.186 0.000 0.000
0.000 5.186 0.000
0.000 0.000 5.186
Sc Cd Ag
3 1 1
direct
0.000 0.000 0.500
0.000 0.500 0.000
0.500 0.000 0.000
0.000 0.000 0.000
0.500 0.500 0.500
```

SG ... Pm-3m, No. 221
Energy ... -21.03 eV for the cell shown

---

Record 6
The following is a GGA-PBEsol calculation of a relaxed ScCdAg crystal, from Alexandria via LeMat-Bulk.

```
ScCdAg
1.0
-1.599 2.001 4.463
1.599 -2.001 4.463
1.599 2.001 -4.463
Sc Cd Ag
1 1 1
direct
0.000 0.000 0.000
0.671 0.671 0.000
0.333 0.333 0.000
```

SG ... Imm2, No. 44
Energy ... -11.90 eV for the cell shown

---

Record 7
The following is a GGA-PBEsol calculation of a relaxed ScCd2Ag crystal, from Alexandria via LeMat-Bulk.

```
ScCd2Ag
1.0
-2.368 2.368 3.393
2.368 -2.368 3.393
2.368 2.368 -3.393
Sc Cd Ag
1 2 1
direct
0.000 0.000 0.000
0.250 0.750 0.500
0.500 0.500 0.000
0.750 0.250 0.500
```

SG ... I-4m2, No. 119
Energy ... -13.40 eV for the cell shown

---

Record 8
The following is a GGA-PBEsol calculation of a relaxed ScCd4Ag crystal, from Alexandria via LeMat-Bulk.

```
ScCd4Ag
1.0
0.000 3.948 3.948
3.948 0.000 3.948
3.948 3.948 0.000
Sc Cd Ag
1 4 1
direct
0.000 0.000 0.000
0.125 0.625 0.625
0.625 0.125 0.625
0.625 0.625 0.125
0.625 0.625 0.625
0.250 0.250 0.250
```

SG ... F-43m, No. 216
Energy ... -14.75 eV for the cell shown